VASP calculation (PBE) on an optimized crystal structure of SnCS2.

Cell and atoms, written as extended XYZ:
```
8
Lattice="-2.945 2.945 4.483 2.945 -2.945 4.483 2.945 2.945 -4.483" Properties=species:S:1:pos:R:3 pbc="T T T"
Sn 0.000 0.000 0.000
Sn 0.000 2.945 2.241
C 2.945 0.000 2.241
C 0.000 0.000 4.483
S 1.473 -0.632 3.362
S 2.314 1.473 1.121
S 1.473 3.577 -1.121
S 0.632 1.473 5.604
```

Summary:
DOS at the Fermi energy = 0.1262 states/eV/atom
E_tot = -35.9 eV for the cell shown